First-principles (PBE+U) data for a relaxed structure of MnIr2F11, as listed in the Alexandria database.

Output
The calculation puts the density of states at the Fermi level at 0.599 states/eV per atom. For the total energy, the calculation gives -4.91 eV/atom.

abc: 8.7768 8.0319 8.0319
angles: 66.60 56.88 56.88
With the nearest neighbours (Å) after each atom.
Sites, in units of the cell vectors:
Mn1 0.7500 0.7500 0.7500  8 F 2.31-2.32
Mn2 0.2500 0.2500 0.2500  8 F 2.31-2.32
Ir1 0.6630 0.6627 0.3373  6 F 1.86-2.03
Ir2 0.3370 0.3373 0.6627  6 F 1.86-2.03
Ir3 0.8370 0.1627 0.8373  6 F 1.86-2.03
Ir4 0.1630 0.8373 0.1627  6 F 1.86-2.03
F1 0.6469 0.6916 0.5768  1 Ir 1.95
F2 0.3531 0.3084 0.4232  1 Ir 1.95
F3 0.0847 0.5768 0.6916  1 Ir 1.95
F4 0.8531 0.9232 0.8084  1 Ir 1.95
F5 0.9153 0.4232 0.3084  1 Ir 1.95
F6 0.1469 0.0768 0.1916  1 Ir 1.95
F7 0.4153 0.8084 0.9232  1 Ir 1.95
F8 0.5847 0.1916 0.0768  1 Ir 1.95
F9 0.5000 0.5000 0.5000  2 Ir 2.03
F10 0.0000 0.0000 0.0000  2 Ir 2.03
F11 0.8122 0.8119 0.1881  1 Ir 1.86
F12 0.1878 0.1881 0.8119  1 Ir 1.86
F13 0.6878 0.3119 0.6881  1 Ir 1.86
F14 0.3122 0.6881 0.3119  1 Ir 1.86
F15 0.4233 0.9145 0.3541  1 Ir 1.95
F16 0.5767 0.0855 0.6459  1 Ir 1.95
F17 0.3081 0.3541 0.9145  1 Ir 1.95
F18 0.0767 0.1459 0.5855  1 Ir 1.95
F19 0.6919 0.6459 0.0855  1 Ir 1.95
F20 0.9233 0.8541 0.4145  1 Ir 1.95
F21 0.1919 0.5855 0.1459  1 Ir 1.95
F22 0.8081 0.4145 0.8541  1 Ir 1.95